Material: TlCd3Bi
Method: DFT, PBE-GGA
State: optimized geometry

Cell: 5.8139 5.8139 5.8139 Å, 90.00 90.00 90.00°
Closest atoms and distances in Å follow each position.
Sites, in units of the cell vectors:
Tl 0.0000 0.0000 0.0000  12 Cd 4.11
Cd 0.0000 0.5000 0.5000  2 Bi 2.91
Cd 0.5000 0.0000 0.5000  2 Bi 2.91
Cd 0.5000 0.5000 0.0000  2 Bi 2.91
Bi 0.5000 0.5000 0.5000  6 Cd 2.91

Summary:
Distance to the lowest polymorph of the same formula = 333.3 meV per atom
Formation enthalpy at 0 K = 371.9 meV per atom
DOS at the Fermi energy = 2.756 states/eV/cell
Space-group type = No. 221



Material: TlCd3Bi
Method: DFT, PBE-GGA
State: optimized geometry

Cell: 8.5280 7.5330 9.5504 Å, 90.00 111.51 90.00°
Closest atoms and distances in Å follow each position.
Sites, in units of the cell vectors:
Tl 0.0776 0.0124 0.2111  5 Cd 3.16-3.46, 2 Bi 3.47-3.49
Tl 0.0776 0.4876 0.7111  5 Cd 3.16-3.46, 2 Bi 3.47-3.49
Tl 0.9224 0.5124 0.2889  5 Cd 3.16-3.46, 2 Bi 3.47-3.49
Tl 0.9224 0.9876 0.7889  5 Cd 3.16-3.46, 2 Bi 3.47-3.49
Cd 0.1085 0.6595 0.0434  4 Cd 2.96-3.12, 1 Tl 3.16
Cd 0.1085 0.8405 0.5434  4 Cd 2.96-3.12, 1 Tl 3.16
Cd 0.3105 0.6244 0.3878  4 Cd 3.07-3.13, 2 Bi 3.11-3.22, 1 Tl 3.20
Cd 0.3105 0.8756 0.8878  4 Cd 3.07-3.13, 2 Bi 3.11-3.22, 1 Tl 3.20
Cd 0.4825 0.6188 0.1494  3 Cd 2.99-3.13, 3 Bi 3.07-3.20
Cd 0.4825 0.8812 0.6494  3 Cd 2.99-3.13, 3 Bi 3.07-3.20
Cd 0.5175 0.1188 0.3505  3 Cd 2.99-3.13, 3 Bi 3.07-3.20
Cd 0.5175 0.3812 0.8506  3 Cd 2.99-3.13, 3 Bi 3.07-3.20
Cd 0.6895 0.1244 0.1122  4 Cd 3.07-3.13, 2 Bi 3.11-3.22, 1 Tl 3.20
Cd 0.6895 0.3756 0.6122  4 Cd 3.07-3.13, 2 Bi 3.11-3.22, 1 Tl 3.20
Cd 0.8915 0.1595 0.4566  4 Cd 2.96-3.12, 1 Tl 3.16
Cd 0.8915 0.3405 0.9566  4 Cd 2.96-3.12, 1 Tl 3.16
Bi 0.3039 0.2455 0.0313  6 Cd 3.07-3.40
Bi 0.3039 0.2545 0.5313  6 Cd 3.07-3.40
Bi 0.6961 0.7455 0.4687  6 Cd 3.07-3.40
Bi 0.6961 0.7545 0.9687  6 Cd 3.07-3.40

Summary:
Distance to the lowest polymorph of the same formula = 0.0 meV per atom
Formation enthalpy at 0 K = 38.6 meV per atom
DOS at the Fermi energy = 8.195 states/eV/cell
Space-group type = No. 14



What did the first record say?
Material: TlCd3Bi
Method: DFT, PBE-GGA
State: optimized geometry

Cell: 5.8139 5.8139 5.8139 Å, 90.00 90.00 90.00°
Closest atoms and distances in Å follow each position.
Sites, in units of the cell vectors:
Tl 0.0000 0.0000 0.0000  12 Cd 4.11
Cd 0.0000 0.5000 0.5000  2 Bi 2.91
Cd 0.5000 0.0000 0.5000  2 Bi 2.91
Cd 0.5000 0.5000 0.0000  2 Bi 2.91
Bi 0.5000 0.5000 0.5000  6 Cd 2.91

Summary:
Distance to the lowest polymorph of the same formula = 333.3 meV per atom
Formation enthalpy at 0 K = 371.9 meV per atom
DOS at the Fermi energy = 2.756 states/eV/cell
Space-group type = No. 221